Entry 1:
# Pr4Al5Ga2

Pr4Al5Ga2 after structural relaxation (GGA-PBE, Alexandria).

a = 3.7858 Å, b = 7.4197 Å, c = 9.5449 Å
α = 93.90°, β = 90.00°, γ = 90.00°
Closest atoms and distances in Å follow each position.
Element x y z (fractional)
Al (0.0000, 0.1982, 0.1653)  1 Ga 2.79, 2 Al 2.83-2.88
Al (0.0000, 0.5629, 0.2902)  2 Al 2.78-2.88, 1 Ga 2.85
Al (0.0000, 0.5000, 0.0000)  4 Al 2.78-2.83
Al (0.0000, 0.8018, 0.8347)  1 Ga 2.79, 2 Al 2.83-2.88
Al (0.0000, 0.4371, 0.7098)  2 Al 2.78-2.88, 1 Ga 2.85
Pr (0.5000, 0.7260, 0.5634)  4 Ga 3.15-3.18, 6 Al 3.23-3.38, 1 Pr 3.49
Pr (0.5000, 0.1756, 0.8835)  2 Ga 3.11, 8 Al 3.20-3.36
Pr (0.5000, 0.2740, 0.4366)  4 Ga 3.15-3.18, 6 Al 3.23-3.38, 1 Pr 3.49
Pr (0.5000, 0.8244, 0.1165)  2 Ga 3.11, 8 Al 3.20-3.36
Ga (0.0000, 0.0587, 0.6345)  1 Ga 2.66, 2 Al 2.79-2.85
Ga (0.0000, 0.9413, 0.3655)  1 Ga 2.66, 2 Al 2.79-2.85

***

Entry 2:
# Pr3Al2Ga3

Pr3Al2Ga3 after structural relaxation (GGA-PBE, Alexandria).

a = 4.3358 Å, b = 6.1434 Å, c = 15.8613 Å
α = 90.00°, β = 90.00°, γ = 110.66°
Closest atoms and distances in Å follow each position.
Element x y z (fractional)
Al (0.1498, 0.2996, 0.3825)  3 Ga 2.53-2.62
Al (0.1498, 0.2996, 0.1175)  3 Ga 2.53-2.62
Al (0.8502, 0.7004, 0.8825)  3 Ga 2.53-2.62
Al (0.8502, 0.7004, 0.6175)  3 Ga 2.53-2.62
Ga (0.5805, 0.1610, 0.4481)  1 Ga 2.48, 2 Al 2.53
Ga (0.5805, 0.1610, 0.0519)  1 Ga 2.48, 2 Al 2.53
Ga (0.4195, 0.8390, 0.9481)  1 Ga 2.48, 2 Al 2.53
Ga (0.2862, 0.5723, 0.2500)  2 Al 2.62
Ga (0.7138, 0.4277, 0.7500)  2 Al 2.62
Ga (0.4195, 0.8390, 0.5519)  1 Ga 2.48, 2 Al 2.53
Pr (0.4437, 0.8874, 0.7500)  5 Ga 3.11-3.42, 4 Al 3.20
Pr (0.1431, 0.2863, 0.9054)  4 Al 3.24-3.39, 7 Ga 3.25-3.43
Pr (0.8569, 0.7137, 0.0946)  4 Al 3.24-3.39, 7 Ga 3.25-3.43
Pr (0.8569, 0.7137, 0.4054)  4 Al 3.24-3.39, 7 Ga 3.25-3.43
Pr (0.1431, 0.2863, 0.5946)  4 Al 3.24-3.39, 7 Ga 3.25-3.43
Pr (0.5563, 0.1126, 0.2500)  5 Ga 3.11-3.42, 4 Al 3.20

## Properties
Relative energy among the computed polymorphs: 11 meV/atom

***

Entry 3:
# PrAl3Ga3

PrAl3Ga3 after structural relaxation (GGA-PBE, Alexandria).

a = 8.4382 Å, b = 8.4382 Å, c = 8.4382 Å
α = 60.00°, β = 60.00°, γ = 60.00°
Closest atoms and distances in Å follow each position.
Element x y z (fractional)
Al (0.8462, 0.1538, 0.1538)  1 Ga 2.33, 4 Al 2.60
Al (0.1538, 0.8462, 0.1538)  1 Ga 2.33, 4 Al 2.60
Al (0.8462, 0.8462, 0.1538)  1 Ga 2.33, 4 Al 2.60
Al (0.8462, 0.1538, 0.8462)  1 Ga 2.33, 4 Al 2.60
Al (0.1538, 0.1538, 0.8462)  1 Ga 2.33, 4 Al 2.60
Al (0.1538, 0.8462, 0.8462)  1 Ga 2.33, 4 Al 2.60
Ga (0.6513, 0.3487, 0.6513)  1 Al 2.33, 4 Ga 2.55
Ga (0.6513, 0.3487, 0.3487)  1 Al 2.33, 4 Ga 2.55
Ga (0.3487, 0.3487, 0.6513)  1 Al 2.33, 4 Ga 2.55
Ga (0.3487, 0.6513, 0.3487)  1 Al 2.33, 4 Ga 2.55
Ga (0.6513, 0.6513, 0.3487)  1 Al 2.33, 4 Ga 2.55
Ga (0.3487, 0.6513, 0.6513)  1 Al 2.33, 4 Ga 2.55
Pr (0.7500, 0.7500, 0.7500)  12 Al 4.37, 12 Ga 4.38
Pr (0.2500, 0.2500, 0.2500)  12 Al 4.37, 12 Ga 4.38

## Properties
Relative energy among the computed polymorphs: 290 meV/atom

***

Entry 4:
# PrAl2Ga

PrAl2Ga after structural relaxation (GGA-PBE, Alexandria).

a = 4.0295 Å, b = 4.0295 Å, c = 8.6879 Å
α = 76.59°, β = 76.59°, γ = 60.00°
Closest atoms and distances in Å follow each position.
Element x y z (fractional)
Al (0.8749, 0.8749, 0.3752)  3 Ga 2.55
Al (0.1251, 0.1251, 0.6248)  3 Ga 2.55
Ga (0.5000, 0.5000, 0.5000)  6 Al 2.55
Pr (0.0000, 0.0000, 0.0000)  2 Al 3.14

## Properties
Relative energy among the computed polymorphs: 813 meV/atom

***

Entry 5:
# Pr3AlGa4

Pr3AlGa4 after structural relaxation (GGA-PBE, Alexandria).

a = 4.7005 Å, b = 6.9493 Å, c = 7.7195 Å
α = 116.75°, β = 107.73°, γ = 90.00°
Closest atoms and distances in Å follow each position.
Element x y z (fractional)
Ga (0.6138, 0.4112, 0.2276)  1 Al 2.54, 1 Ga 2.82
Ga (0.3862, 0.1835, 0.7724)  1 Al 2.54, 1 Ga 2.82
Ga (0.3862, 0.5888, 0.7724)  1 Al 2.54, 1 Ga 2.82
Ga (0.6138, 0.8165, 0.2276)  1 Al 2.54, 1 Ga 2.82
Pr (0.0000, 0.5000, 0.0000)  8 Ga 3.11
Pr (0.1799, 0.1799, 0.3598)  6 Ga 3.02-3.24, 2 Al 3.31
Pr (0.8201, 0.8201, 0.6402)  6 Ga 3.02-3.24, 2 Al 3.31
Al (0.5000, 0.0000, 0.0000)  4 Ga 2.54

***

Entry 6:
# Pr3Al3Ga

Pr3Al3Ga after structural relaxation (GGA-PBE, Alexandria).

a = 4.3354 Å, b = 4.4296 Å, c = 10.1443 Å
α = 102.61°, β = 102.34°, γ = 90.00°
Closest atoms and distances in Å follow each position.
Element x y z (fractional)
Pr (0.6859, 0.1859, 0.3719)  7 Al 3.23-3.41
Pr (0.9988, 0.9988, 0.9976)  4 Ga 3.34, 8 Al 3.35-3.48
Pr (0.3160, 0.8160, 0.6321)  2 Ga 3.18, 5 Al 3.23-3.44
Al (0.1380, 0.6380, 0.2760)  2 Al 2.59
Al (0.8625, 0.3625, 0.7250)  2 Ga 2.58
Al (0.5642, 0.5642, 0.1284)  1 Ga 2.51, 2 Al 2.59
Ga (0.4345, 0.4345, 0.8690)  3 Al 2.51-2.58

***

Entry 7:
# Pr2Al3Ga

Pr2Al3Ga after structural relaxation (GGA-PBE, Alexandria).

a = 4.2809 Å, b = 4.4045 Å, c = 7.6406 Å
α = 90.00°, β = 90.00°, γ = 90.00°
Closest atoms and distances in Å follow each position.
Element x y z (fractional)
Pr (0.0000, 0.5000, 0.0033)  2 Ga 3.31, 10 Al 3.32-3.36
Pr (0.0000, 0.0000, 0.4968)  8 Al 3.29-3.35, 4 Ga 3.32
Al (0.5000, 0.0000, 0.8335)  3 Al 2.56
Al (0.5000, 0.0000, 0.1692)  2 Ga 2.53, 1 Al 2.56
Al (0.5000, 0.5000, 0.6637)  1 Ga 2.52, 2 Al 2.56
Ga (0.5000, 0.5000, 0.3334)  3 Al 2.52-2.53

***

Entry 8:
# Pr3Al9Ga2

Pr3Al9Ga2 after structural relaxation (GGA-PBE, Alexandria).

a = 4.4046 Å, b = 8.5343 Å, c = 8.5343 Å
α = 72.54°, β = 75.05°, γ = 75.05°
Closest atoms and distances in Å follow each position.
Element x y z (fractional)
Al (0.6644, 0.7052, 0.9660)  4 Al 2.63-2.73, 1 Ga 2.64
Al (0.3356, 0.0340, 0.2948)  4 Al 2.63-2.73, 1 Ga 2.64
Al (0.0000, 0.5000, 0.5000)  4 Al 2.93, 4 Ga 3.11, 4 Pr 3.23
Al (0.6644, 0.9660, 0.7052)  4 Al 2.63-2.73, 1 Ga 2.64
Al (0.8598, 0.8673, 0.4131)  4 Al 2.65-2.93, 2 Ga 2.86
Al (0.1402, 0.5869, 0.1327)  4 Al 2.65-2.93, 2 Ga 2.86
Al (0.3356, 0.2948, 0.0340)  4 Al 2.63-2.73, 1 Ga 2.64
Al (0.8598, 0.4131, 0.8673)  4 Al 2.65-2.93, 2 Ga 2.86
Al (0.1402, 0.1327, 0.5869)  4 Al 2.65-2.93, 2 Ga 2.86
Pr (0.3188, 0.6812, 0.6812)  2 Ga 3.22, 12 Al 3.22-3.61
Pr (0.0000, 0.0000, 0.0000)  12 Al 3.31-3.34, 4 Ga 3.61
Pr (0.6812, 0.3188, 0.3188)  2 Ga 3.22, 12 Al 3.22-3.61
Ga (0.5000, 0.7172, 0.2828)  6 Al 2.64-2.86
Ga (0.5000, 0.2828, 0.7172)  6 Al 2.64-2.86

***

Entry 9:
# PrAl2Ga

PrAl2Ga after structural relaxation (GGA-PBE, Alexandria).

a = 6.6955 Å, b = 6.6955 Å, c = 6.6955 Å
α = 99.57°, β = 99.57°, γ = 99.57°
Closest atoms and distances in Å follow each position.
Element x y z (fractional)
Pr (0.6736, 0.6736, 0.6736)  2 Pr 3.09-3.29, 6 Al 3.18, 3 Ga 3.32
Pr (0.0000, 0.0000, 0.0000)  2 Pr 3.09, 6 Ga 3.35
Pr (0.3264, 0.3264, 0.3264)  2 Pr 3.09-3.29, 6 Al 3.18, 3 Ga 3.32
Al (0.5000, 0.7663, 0.2337)  1 Ga 2.39
Al (0.2337, 0.7663, 0.5000)  1 Ga 2.39
Al (0.7663, 0.2337, 0.5000)  1 Ga 2.39
Al (0.7663, 0.5000, 0.2337)  1 Ga 2.39
Al (0.5000, 0.2337, 0.7663)  1 Ga 2.39
Al (0.2337, 0.5000, 0.7663)  1 Ga 2.39
Ga (0.0000, 0.5000, 0.0000)  2 Al 2.39
Ga (0.0000, 0.0000, 0.5000)  2 Al 2.39
Ga (0.5000, 0.0000, 0.0000)  2 Al 2.39

## Properties
Relative energy among the computed polymorphs: 388 meV/atom

***

Entry 10:
# PrAl2Ga

PrAl2Ga after structural relaxation (GGA-PBE, Alexandria).

a = 4.4635 Å, b = 4.3638 Å, c = 4.3638 Å
α = 90.00°, β = 90.00°, γ = 90.00°
Closest atoms and distances in Å follow each position.
Element x y z (fractional)
Ga (0.5000, 0.5000, 0.5000)  4 Pr 3.09, 8 Al 3.12
Al (0.0000, 0.0000, 0.5000)  4 Al 3.09, 4 Pr 3.12, 4 Ga 3.12
Al (0.0000, 0.5000, 0.0000)  4 Al 3.09, 4 Pr 3.12, 4 Ga 3.12
Pr (0.5000, 0.0000, 0.0000)  4 Ga 3.09, 8 Al 3.12

## Properties
Relative energy among the computed polymorphs: 14 meV/atom

***

Entry 11:
# PrAl3Ga3

PrAl3Ga3 after structural relaxation (GGA-PBE, Alexandria).

a = 6.9848 Å, b = 6.9848 Å, c = 6.9848 Å
α = 90.00°, β = 90.00°, γ = 90.00°
Closest atoms and distances in Å follow each position.
Element x y z (fractional)
Ga (0.2500, 0.0000, 0.5000)  4 Al 2.47
Ga (0.0000, 0.5000, 0.2500)  4 Al 2.47
Ga (0.5000, 0.2500, 0.0000)  4 Al 2.47
Ga (0.0000, 0.5000, 0.7500)  4 Al 2.47
Ga (0.7500, 0.0000, 0.5000)  4 Al 2.47
Ga (0.5000, 0.7500, 0.0000)  4 Al 2.47
Al (0.2500, 0.5000, 0.0000)  4 Ga 2.47
Al (0.0000, 0.2500, 0.5000)  4 Ga 2.47
Al (0.5000, 0.0000, 0.7500)  4 Ga 2.47
Al (0.7500, 0.5000, 0.0000)  4 Ga 2.47
Al (0.5000, 0.0000, 0.2500)  4 Ga 2.47
Al (0.0000, 0.7500, 0.5000)  4 Ga 2.47
Pr (0.0000, 0.0000, 0.0000)  12 Al 3.90, 12 Ga 3.90
Pr (0.5000, 0.5000, 0.5000)  12 Al 3.90, 12 Ga 3.90

## Properties
Relative energy among the computed polymorphs: 0 meV/atom

***

Entry 12:
# Pr2AlGa

Pr2AlGa after structural relaxation (GGA-PBE, Alexandria).

a = 4.2746 Å, b = 4.2759 Å, c = 7.7046 Å
α = 73.85°, β = 73.89°, γ = 60.01°
Closest atoms and distances in Å follow each position.
Element x y z (fractional)
Al (0.1279, 0.8907, 0.8535)  3 Ga 2.50
Pr (0.7042, 0.4661, 0.1255)  3 Al 3.17, 3 Ga 3.42
Pr (0.8998, 0.6636, 0.5368)  3 Ga 3.14, 3 Al 3.38
Ga (0.4784, 0.2415, 0.8017)  3 Al 2.50

***

Entry 13:
# Pr2AlGa2

Pr2AlGa2 after structural relaxation (GGA-PBE, Alexandria).

a = 4.2516 Å, b = 6.0161 Å, c = 6.0161 Å
α = 59.61°, β = 69.31°, γ = 69.31°
Closest atoms and distances in Å follow each position.
Element x y z (fractional)
Ga (0.5000, 0.7301, 0.2699)  2 Al 2.67, 1 Ga 2.75
Ga (0.5000, 0.2699, 0.7301)  2 Al 2.67, 1 Ga 2.75
Pr (0.2095, 0.2905, 0.2905)  6 Ga 3.21-3.23, 2 Al 3.49
Pr (0.7905, 0.7095, 0.7095)  6 Ga 3.21-3.23, 2 Al 3.49
Al (0.0000, 0.0000, 0.0000)  4 Ga 2.67

## Properties
Relative energy among the computed polymorphs: 42 meV/atom

***

Entry 14:
# Pr2AlGa

Pr2AlGa after structural relaxation (GGA-PBE, Alexandria).

a = 4.5234 Å, b = 4.2353 Å, c = 6.1935 Å
α = 90.00°, β = 111.42°, γ = 90.00°
Closest atoms and distances in Å follow each position.
Element x y z (fractional)
Ga (0.5153, 0.5000, 0.0306)  2 Al 2.63
Pr (0.0872, 0.0000, 0.1744)  4 Ga 3.21, 3 Al 3.29-3.38
Pr (0.8018, 0.5000, 0.6036)  4 Al 3.23, 3 Ga 3.30-3.34
Al (0.3803, 0.0000, 0.7605)  2 Ga 2.63

***

Entry 15:
# Pr2Al2Ga

Pr2Al2Ga after structural relaxation (GGA-PBE, Alexandria).

a = 4.3178 Å, b = 4.2289 Å, c = 7.0773 Å
α = 107.38°, β = 90.00°, γ = 90.00°
Closest atoms and distances in Å follow each position.
Element x y z (fractional)
Al (0.5000, 0.3080, 0.6160)  1 Ga 2.65, 1 Al 2.69
Al (0.5000, 0.5072, 0.0143)  2 Ga 2.54, 1 Al 2.69
Pr (0.0000, 0.9312, 0.8625)  8 Al 3.19-3.45, 2 Ga 3.25, 1 Pr 3.34
Pr (0.0000, 0.6841, 0.3682)  4 Ga 3.18, 6 Al 3.22-3.45, 1 Pr 3.34
Ga (0.5000, 0.1115, 0.2231)  3 Al 2.54-2.65

***

Entry 16:
# Pr3Al7Ga4

Pr3Al7Ga4 after structural relaxation (GGA-PBE, Alexandria).

a = 4.2998 Å, b = 8.4776 Å, c = 8.6190 Å
α = 72.21°, β = 75.56°, γ = 75.31°
Closest atoms and distances in Å follow each position.
Element x y z (fractional)
Ga (0.8688, 0.9079, 0.3544)  6 Al 2.60-2.86
Ga (0.3356, 0.5462, 0.7826)  5 Al 2.62-2.72
Ga (0.1312, 0.0921, 0.6456)  6 Al 2.60-2.86
Ga (0.6644, 0.4538, 0.2174)  5 Al 2.62-2.72
Pr (0.3191, 0.1778, 0.1841)  4 Ga 3.15-3.19, 9 Al 3.20-3.52
Pr (0.0000, 0.5000, 0.5000)  6 Ga 3.25-3.29, 10 Al 3.38-3.55
Pr (0.6809, 0.8222, 0.8159)  4 Ga 3.15-3.19, 9 Al 3.20-3.52
Al (0.1485, 0.6216, 0.0814)  3 Ga 2.65-2.72, 2 Al 2.85
Al (0.5060, 0.7746, 0.2133)  3 Ga 2.62-2.81, 3 Al 2.71-2.85
Al (0.8515, 0.3784, 0.9186)  3 Ga 2.65-2.72, 2 Al 2.85
Al (0.4940, 0.2254, 0.7867)  3 Ga 2.62-2.81, 3 Al 2.71-2.85
Al (0.0000, 0.0000, 0.0000)  2 Ga 2.86, 6 Al 3.00-3.08
Al (0.3310, 0.8105, 0.5275)  4 Ga 2.60-2.73, 1 Al 2.71
Al (0.6690, 0.1895, 0.4725)  4 Ga 2.60-2.73, 1 Al 2.71

***

Entry 17:
# Pr5Al2Ga5

Pr5Al2Ga5 after structural relaxation (GGA-PBE, Alexandria).

a = 4.2332 Å, b = 8.0718 Å, c = 9.5054 Å
α = 82.23°, β = 77.13°, γ = 74.80°
Closest atoms and distances in Å follow each position.
Element x y z (fractional)
Ga (0.0000, 0.0000, 0.0000)  2 Ga 2.66
Ga (0.6944, 0.2380, 0.3732)  1 Al 2.57
Ga (0.9342, 0.2960, 0.8356)  2 Al 2.54, 1 Ga 2.66
Ga (0.3056, 0.7620, 0.6268)  1 Al 2.57
Ga (0.0658, 0.7040, 0.1644)  2 Al 2.54, 1 Ga 2.66
Pr (0.6936, 0.6993, 0.9134)  7 Ga 3.15-3.40, 3 Al 3.19-3.25, 1 Pr 3.37
Pr (0.3064, 0.3007, 0.0866)  7 Ga 3.15-3.40, 3 Al 3.19-3.25, 1 Pr 3.37
Pr (0.3705, 0.9421, 0.3170)  5 Ga 3.09-3.22, 1 Al 3.24, 1 Pr 3.37
Pr (0.6295, 0.0579, 0.6830)  5 Ga 3.09-3.22, 1 Al 3.24, 1 Pr 3.37
Pr (0.0000, 0.5000, 0.5000)  4 Al 3.19, 6 Ga 3.23-3.37
Al (0.6073, 0.5428, 0.2427)  3 Ga 2.54-2.57
Al (0.3927, 0.4572, 0.7573)  3 Ga 2.54-2.57

***

Entry 18:
# Pr4AlGa12

Pr4AlGa12 after structural relaxation (GGA-PBE, Alexandria).

a = 7.7426 Å, b = 7.7426 Å, c = 7.7426 Å
α = 109.47°, β = 109.47°, γ = 109.47°
Closest atoms and distances in Å follow each position.
Element x y z (fractional)
Ga (0.7500, 0.2500, 0.5000)  4 Ga 2.81
Ga (0.0000, 0.3092, 0.3092)  1 Al 2.76, 4 Ga 2.81
Ga (0.6908, 0.0000, 0.6908)  1 Al 2.76, 4 Ga 2.81
Ga (0.3092, 0.0000, 0.3092)  1 Al 2.76, 4 Ga 2.81
Ga (0.7500, 0.5000, 0.2500)  4 Ga 2.81
Ga (0.0000, 0.6908, 0.6908)  1 Al 2.76, 4 Ga 2.81
Ga (0.5000, 0.2500, 0.7500)  4 Ga 2.81
Ga (0.5000, 0.7500, 0.2500)  4 Ga 2.81
Ga (0.6908, 0.6908, 0.0000)  1 Al 2.76, 4 Ga 2.81
Ga (0.2500, 0.7500, 0.5000)  4 Ga 2.81
Ga (0.3092, 0.3092, 0.0000)  1 Al 2.76, 4 Ga 2.81
Ga (0.2500, 0.5000, 0.7500)  4 Ga 2.81
Pr (0.5000, 0.5000, 0.5000)  12 Ga 3.16-3.20
Pr (0.0000, 0.5000, 0.0000)  12 Ga 3.16-3.20
Pr (0.0000, 0.0000, 0.5000)  12 Ga 3.16-3.20
Pr (0.5000, 0.0000, 0.0000)  12 Ga 3.16-3.20
Al (0.0000, 0.0000, 0.0000)  6 Ga 2.76

***

Entry 19:
# PrAl2Ga

PrAl2Ga after structural relaxation (GGA-PBE, Alexandria).

a = 4.4119 Å, b = 5.9686 Å, c = 6.9645 Å
α = 90.00°, β = 90.00°, γ = 111.69°
Closest atoms and distances in Å follow each position.
Element x y z (fractional)
Ga (0.2816, 0.5633, 0.8121)  1 Ga 2.62, 3 Al 2.72-2.76
Ga (0.2816, 0.5633, 0.1879)  1 Ga 2.62, 3 Al 2.72-2.76
Al (0.8729, 0.7458, 0.0000)  4 Ga 2.76, 2 Al 2.93
Al (0.4624, 0.9248, 0.5000)  4 Al 2.74, 2 Ga 2.96
Al (0.0491, 0.0981, 0.3128)  3 Al 2.61-2.74, 1 Ga 2.72
Al (0.0491, 0.0981, 0.6872)  3 Al 2.61-2.74, 1 Ga 2.72
Pr (0.7477, 0.4953, 0.5000)  4 Ga 3.12, 7 Al 3.16-3.38
Pr (0.5844, 0.1688, 0.0000)  7 Al 3.13-3.22, 4 Ga 3.37

## Properties
Relative energy among the computed polymorphs: 0 meV/atom

***

Entry 20:
# PrAl3Ga

PrAl3Ga after structural relaxation (GGA-PBE, Alexandria).

a = 4.2732 Å, b = 4.2765 Å, c = 6.3918 Å
α = 70.30°, β = 70.31°, γ = 90.00°
Closest atoms and distances in Å follow each position.
Element x y z (fractional)
Ga (0.0130, 0.8166, 0.6785)  5 Al 2.52-2.64
Al (0.6511, 0.9545, 0.4031)  2 Ga 2.64, 2 Al 2.64-2.65
Al (0.1508, 0.4544, 0.4035)  2 Ga 2.64, 2 Al 2.64-2.65
Al (0.7898, 0.5933, 0.1265)  1 Ga 2.52, 4 Al 2.64-2.65
Pr (0.4030, 0.2064, 0.8996)  4 Ga 3.26-3.28, 12 Al 3.27-3.55

***

| no. | DOS at the Fermi energy (states/eV/cell) | ΔE_f (eV per formula unit) |
| --- | --- | --- |
| 1 | 6.84 | -4.0 |
| 2 | 10.76 | -4.5 |
| 3 | 4.91 | 3.1 |
| 4 | 2.81 | 1.6 |
| 5 | 6.41 | -3.3 |
| 6 | 6.75 | -3.1 |
| 7 | 3.69 | -3.2 |
| 8 | 3.72 | -5.4 |
| 9 | 8.53 | -0.1 |
| 10 | 1.04 | -1.6 |
| 11 | 4.53 | 1.0 |
| 12 | 4.28 | -1.3 |
| 13 | 4.44 | -2.7 |
| 14 | 4.38 | -1.9 |
| 15 | 2.52 | -2.4 |
| 16 | 3.32 | -6.2 |
| 17 | 8.71 | -6.2 |
| 18 | 5.02 | -8.7 |
| 19 | 2.62 | -1.6 |
| 20 | 1.91 | -1.9 |